# CdH6C2O6

A relaxed structure of CdH6C2O6 (PBE, Alexandria via LeMat-Bulk).

Values from the calculation:
* calculated volume: 11.246 A^3/atom
* raw total energy: -5.63 eV/atom

Unit cell a=9.1416 b=7.4622 c=9.9637 alpha=90.00 beta=96.91 gamma=90.00
Space group P2_1/c (No. 14)
One atom of each set of equivalent atoms:
Cd1 0.0000 0.0000 0.0000
Cd2 0.5000 0.0000 0.5000
H1 0.0367 0.1543 0.2769
H2 0.1777 0.0231 0.6262
H3 0.1964 0.1062 0.2346
H4 0.2682 0.6186 0.4650
H5 0.2988 0.0900 0.9944
H6 0.4435 0.7273 0.7340
C1 0.1744 0.6127 0.0810
C2 0.4567 0.2046 0.2171
O1 0.0629 0.7089 0.0951
O2 0.0941 0.1380 0.1986
O3 0.2364 0.0050 0.9356
O4 0.2825 0.6617 0.0194
O5 0.3933 0.0905 0.2853
O6 0.4107 0.2453 0.0952